Record 1
Entry from Alexandria: a relaxed structure of AcPrAlSi (PBE-GGA).

Lattice parameters (Å, degrees): 4.172 4.619 11.815 90.00 90.00 90.00
Space group Amm2 (No. 38)
Asymmetric unit:
1 Ac 0.000 0.000 0.000 [2 per cell]
2 Pr 0.500 0.000 0.716 [2 per cell]
3 Al 0.000 0.000 0.288 [2 per cell]
4 Si 0.500 0.000 0.418 [2 per cell]

Values from the calculation:
raw formation energy: -0.527 eV per atom
final energy: -5.0406 eV/atom
Fermi-level density of states: 5.91 states/eV per cell
calculated volume: 28.5 A^3/atom
polymorph energy (0 for the lowest one): 0.0 meV/atom

Record 2
Entry from Alexandria: a relaxed structure of AcPrAl2Si2 (PBE-GGA).

Lattice parameters (Å, degrees): 4.2622 4.2622 8.9619 90.00 90.00 120.00
Space group P-3m1 (No. 164)
Asymmetric unit:
1 Ac 0.0000 0.0000 0.0000 [1 per cell]
2 Pr 0.0000 0.0000 0.5000 [1 per cell]
3 Al 0.3333 0.6667 0.7399 [2 per cell]
4 Si 0.3333 0.6667 0.2643 [2 per cell]

Values from the calculation:
raw formation energy: -0.606 eV per atom
final energy: -5.1421 eV/atom
Fermi-level density of states: 1.95 states/eV per cell
calculated volume: 23.5 A^3/atom

Record 3
Entry from Alexandria: a relaxed structure of AcPrAlSi (PBE-GGA).

Lattice parameters (Å, degrees): 7.626 7.626 7.626 90.00 90.00 90.00
Space group F-43m (No. 216)
Asymmetric unit:
1 Ac 0.000 0.000 0.000 [4 per cell]
2 Pr 0.000 0.000 0.500 [4 per cell]
3 Al 0.250 0.250 0.750 [4 per cell]
4 Si 0.250 0.250 0.250 [4 per cell]

Values from the calculation:
raw formation energy: -0.264 eV per atom
final energy: -4.7769 eV/atom
Fermi-level density of states: 7.91 states/eV per cell
calculated volume: 27.7 A^3/atom
polymorph energy (0 for the lowest one): 263.6 meV/atom

Record 4
Entry from Alexandria: a relaxed structure of AcPrSmAl (PBE-GGA).

Lattice parameters (Å, degrees): 7.957 7.957 7.957 90.00 90.00 90.00
Space group F-43m (No. 216)
Asymmetric unit:
1 Ac 0.000 0.000 0.000 [4 per cell]
2 Pr 0.250 0.250 0.750 [4 per cell]
3 Sm 0.250 0.250 0.250 [4 per cell]
4 Al 0.000 0.000 0.500 [4 per cell]

Values from the calculation:
final energy: -4.2908 eV/atom
energy of formation: 0.047 eV per atom
Fermi-level density of states: 29.49 states/eV per cell
calculated volume: 31.5 A^3/atom

Record 5
Entry from Alexandria: a relaxed structure of AcPr2Al2Sn2 (PBE-GGA).

Lattice parameters (Å, degrees): 4.7623 4.7623 31.0500 90.00 90.00 120.00
Space group R-3m (No. 166, hexagonal axes)
Asymmetric unit:
1 Ac 0.0000 0.0000 0.0000 [3 per cell]
2 Pr 0.0000 0.0000 0.1315 [6 per cell]
3 Al 0.0000 0.0000 0.4143 [6 per cell]
4 Sn 0.0000 0.0000 0.2643 [6 per cell]

Values from the calculation:
final energy: -4.5207 eV/atom
energy of formation: -0.355 eV per atom
Fermi-level density of states: 10.78 states/eV per cell
calculated volume: 29.0 A^3/atom

Record 6
Entry from Alexandria: a relaxed structure of AcPrAlSn (PBE-GGA).

Lattice parameters (Å, degrees): 7.894 7.894 7.894 90.00 90.00 90.00
Space group F-43m (No. 216)
Asymmetric unit:
1 Ac 0.000 0.000 0.000 [4 per cell]
2 Pr 0.000 0.000 0.500 [4 per cell]
3 Al 0.250 0.250 0.250 [4 per cell]
4 Sn 0.250 0.250 0.750 [4 per cell]

Values from the calculation:
final energy: -4.5595 eV/atom
energy of formation: -0.401 eV per atom
Fermi-level density of states: 8.80 states/eV per cell
calculated volume: 30.7 A^3/atom